1.
# In9Sn2Bi (PBE-GGA, relaxed)
data_In9Sn2Bi
_symmetry_space_group_name_H-M 'P 4/m m m'
_symmetry_Int_Tables_number 123
_symmetry_space_group_name_Hall '-P 4 2'
_cell_length_a 4.987
_cell_length_b 4.987
_cell_length_c 13.396
_cell_angle_alpha 90.00
_cell_angle_beta 90.00
_cell_angle_gamma 90.00
loop_
_atom_site_label
_atom_site_type_symbol
_atom_site_fract_x
_atom_site_fract_y
_atom_site_fract_z
In1 In 0.000 0.000 0.000
In2 In 0.000 0.000 0.336
In3 In 0.000 0.500 0.172
In4 In 0.000 0.500 0.500
Sn1 Sn 0.500 0.500 0.336
Bi1 Bi 0.500 0.500 0.000
# E_form ... 18.2 meV per atom
# M_tot ... 0.0 μB per formula unit
# Uncorrected energy ... -3.03 eV/atom

---

2.
# Li3BiP2O8 (PBE-GGA, relaxed)
data_Li3BiP2O8
_symmetry_space_group_name_H-M 'P 1'
_symmetry_Int_Tables_number 1
_cell_length_a 7.998
_cell_length_b 8.520
_cell_length_c 8.543
_cell_angle_alpha 60.46
_cell_angle_beta 89.62
_cell_angle_gamma 88.88
loop_
_symmetry_equiv_pos_as_xyz
'x,y,z'
loop_
_atom_site_label
_atom_site_type_symbol
_atom_site_fract_x
_atom_site_fract_y
_atom_site_fract_z
Li1 Li 0.000 0.000 0.000
Li2 Li 0.001 0.646 0.636
Li3 Li 0.019 0.349 0.300
Li4 Li 0.130 0.988 0.651
Li5 Li 0.147 0.671 0.312
Li6 Li 0.255 0.015 0.316
Li7 Li 0.263 0.309 0.658
Li8 Li 0.264 0.669 0.957
Li9 Li 0.279 0.334 0.972
Bi1 Bi 0.568 0.995 0.648
Bi2 Bi 0.684 0.664 0.307
Bi3 Bi 0.693 0.361 0.975
P1 P 0.370 0.982 0.010
P2 P 0.375 0.649 0.627
P3 P 0.384 0.365 0.288
P4 P 0.879 0.018 0.330
P5 P 0.886 0.292 0.662
P6 P 0.894 0.678 0.942
O1 O 0.035 0.078 0.393
O2 O 0.044 0.169 0.729
O3 O 0.045 0.740 0.813
O4 O 0.217 0.924 0.139
O5 O 0.221 0.581 0.567
O6 O 0.232 0.500 0.232
O7 O 0.354 0.902 0.880
O8 O 0.359 0.858 0.548
O9 O 0.368 0.244 0.202
O10 O 0.374 0.189 0.891
O11 O 0.381 0.558 0.835
O12 O 0.382 0.242 0.498
O13 O 0.534 0.915 0.120
O14 O 0.539 0.598 0.563
O15 O 0.551 0.470 0.223
O16 O 0.716 0.075 0.389
O17 O 0.726 0.179 0.718
O18 O 0.728 0.705 0.836
O19 O 0.871 0.115 0.119
O20 O 0.877 0.414 0.755
O21 O 0.892 0.811 0.401
O22 O 0.893 0.768 0.061
O23 O 0.900 0.423 0.456
O24 O 0.904 0.466 0.068
# M_tot ... 0.0 μB per formula unit
# Polymorph energy (0 for the lowest one) ... 0.000 eV/atom
# Uncorrected energy ... -6.47 eV/atom
# Raw formation energy ... -30.45 eV per formula unit

---

3.
# Li2ErGaAu2 (PBE-GGA, relaxed)
data_Li2ErGaAu2
_symmetry_space_group_name_H-M 'P -3 m 1'
_symmetry_Int_Tables_number 164
_symmetry_space_group_name_Hall '-P 3 2"'
_cell_length_a 4.4762
_cell_length_b 4.4762
_cell_length_c 6.2557
_cell_angle_alpha 90.00
_cell_angle_beta 90.00
_cell_angle_gamma 120.00
loop_
_atom_site_label
_atom_site_type_symbol
_atom_site_fract_x
_atom_site_fract_y
_atom_site_fract_z
Li1 Li 0.3333 0.6667 0.1728
Er1 Er 0.0000 0.0000 0.5000
Ga1 Ga 0.0000 0.0000 0.0000
Au1 Au 0.3333 0.6667 0.7538
# E_form ... -584.5 meV per atom
# M_tot ... 0.0 μB per formula unit
# Uncorrected energy ... -3.58 eV/atom

---

4.
# La10Tl3Ge3 (PBE-GGA, relaxed)
data_La10Tl3Ge3
_symmetry_space_group_name_H-M 'P -6 2 m'
_symmetry_Int_Tables_number 189
_symmetry_space_group_name_Hall 'P -6 -2'
_cell_length_a 9.3141
_cell_length_b 9.3141
_cell_length_c 6.8188
_cell_angle_alpha 90.00
_cell_angle_beta 90.00
_cell_angle_gamma 120.00
loop_
_atom_site_label
_atom_site_type_symbol
_atom_site_fract_x
_atom_site_fract_y
_atom_site_fract_z
La1 La 0.0000 0.2484 0.0000
La2 La 0.0000 0.7563 0.5000
La3 La 0.3333 0.6667 0.2788
Tl1 Tl 0.0000 0.6013 0.0000
Ge1 Ge 0.0000 0.3839 0.5000
# E_form ... -498.5 meV per atom
# M_tot ... 0.0 μB per formula unit
# Uncorrected energy ... -4.89 eV/atom